1.
Below is crystalline La2TaCo at its relaxed geometry, with properties calculated at the PBE level.

Computed properties:
- ΔE_f (eV/f.u.) = 2.56
- E above lowest polymorph (eV/atom) = 0.535

Structure (POSCAR):
```
La2TaCo
1.0
5.851 0.018 0.051
-2.662 4.958 -0.009
0.527 1.065 3.090
Co La Ta
1 2 1
direct
0.500 0.500 0.000
0.000 0.000 0.000
0.500 0.000 0.500
0.000 0.500 0.500
```

---

2.
Below is crystalline Ac2GaSi3Pt4 at its relaxed geometry, with properties calculated at the PBE level.

Computed properties:
- formation energy from raw total energies (eV/atom) = -1.04

Structure (POSCAR):
```
Ac2GaSi3Pt4
1.0
4.415 0.000 0.000
0.000 4.415 0.000
0.000 0.000 10.098
Ac Ga Si Pt
2 1 3 4
direct
0.500 0.000 0.253
0.000 0.500 0.747
0.500 0.500 0.500
0.000 0.000 0.500
0.500 0.000 0.877
0.000 0.500 0.123
0.500 0.500 0.000
0.000 0.000 0.000
0.500 0.000 0.631
0.000 0.500 0.369
```